Computed, not measured: a relaxed structure of Ce4Tl3Ru at the GGA-PBE level of DFT.

Values from the calculation:
DFT formation energy	-0.270	eV per atom
E	-42.27	eV for the cell shown
energy above the lowest structure with this stoichiometry	0.000	eV per atom

Lattice parameters (Å, degrees): 3.4017 3.4017 18.2296 90.00 90.00 90.00
Sites, in units of the cell vectors:
Ce 0.0000 0.0000 0.0965
Ce 0.0000 0.0000 0.3682
Ce 0.0000 0.0000 0.6318
Ce 0.0000 0.0000 0.9035
Tl 0.5000 0.5000 0.2355
Tl 0.5000 0.5000 0.5000
Tl 0.5000 0.5000 0.7645
Ru 0.5000 0.5000 0.0000


Computed, not measured: a relaxed structure of SiBW2 at the GGA-PBE level of DFT.

Values from the calculation:
E	-36.36	eV for the cell shown
energy above the lowest structure with this stoichiometry	0.466	eV per atom
E_form (uncorrected)	0.4111	eV/atom

Lattice parameters (Å, degrees): 4.1722 4.1722 4.1722 60.00 60.00 60.00
Sites, in units of the cell vectors:
Si 0.0000 0.0000 0.0000
B 0.5000 0.5000 0.5000
W 0.2500 0.2500 0.2500
W 0.7500 0.7500 0.7500


Computed, not measured: a relaxed structure of Ce7Tc2Hg at the GGA-PBE level of DFT.

Values from the calculation:
DFT formation energy	0.075	eV per atom
E	-61.82	eV for the cell shown

Lattice parameters (Å, degrees): 7.9155 7.9155 5.1234 90.00 90.00 111.80
Sites, in units of the cell vectors:
Ce 0.0000 0.0000 0.0000
Ce 0.2171 0.4405 0.0000
Ce 0.2170 0.7830 0.5000
Ce 0.4405 0.2171 0.0000
Ce 0.5595 0.7829 0.0000
Ce 0.7830 0.2170 0.5000
Ce 0.7829 0.5595 0.0000
Tc 0.1880 0.8119 0.0000
Tc 0.8119 0.1880 0.0000
Hg 0.5000 0.5000 0.5000